## 1
TaCuSiIr: optimized geometry, PBE.

abc: 4.344 4.344 4.344
angles: 60.00 60.00 60.00
Fractional positions:
1 Ta 0.000 0.000 0.000
2 Cu 0.750 0.750 0.750
3 Si 0.500 0.500 0.500
4 Ir 0.250 0.250 0.250

For the total moment, the calculation gives 0.01 μB per formula unit.

---

## 2
TaCuSiIr: optimized geometry, PBE.

abc: 4.356 4.356 4.356
angles: 60.00 60.00 60.00
Fractional positions:
1 Ta 0.000 0.000 0.000
2 Cu 0.500 0.500 0.500
3 Si 0.250 0.250 0.250
4 Ir 0.750 0.750 0.750

For the total moment, the calculation gives 0.00 μB per formula unit.

---

Of them, 1 has the highest stability.

---

## 1
YCuSiIr: optimized geometry, PBE.

abc: 4.532 4.532 4.532
angles: 60.00 60.00 60.00
Fractional positions:
1 Y 0.000 0.000 0.000
2 Cu 0.750 0.750 0.750
3 Si 0.500 0.500 0.500
4 Ir 0.250 0.250 0.250

For the total moment, the calculation gives 0.00 μB per formula unit.

---

## 2
YCuSiIr: optimized geometry, PBE.

abc: 4.585 4.585 4.585
angles: 60.00 60.00 60.00
Fractional positions:
1 Y 0.000 0.000 0.000
2 Cu 0.500 0.500 0.500
3 Si 0.250 0.250 0.250
4 Ir 0.750 0.750 0.750

For the total moment, the calculation gives 0.00 μB per formula unit.

---

Of them, 1 has the highest stability.

---

## 1
SmCuIr: optimized geometry, PBE.

abc: 4.566 4.566 4.566
angles: 60.00 60.00 60.00
Fractional positions:
1 Sm 0.000 0.000 0.000
2 Cu 0.750 0.750 0.750
3 Ir 0.250 0.250 0.250

For the total moment, the calculation gives 0.00 μB per formula unit.

---

## 2
SmCuIr: optimized geometry, PBE.

abc: 4.535 4.535 4.535
angles: 60.00 60.00 60.00
Fractional positions:
1 Sm 0.000 0.000 0.000
2 Cu 0.500 0.500 0.500
3 Ir 0.250 0.250 0.250

For the total moment, the calculation gives 0.03 μB per formula unit.

---

Of them, 2 has the highest stability.

---

## 1
SrCuTeIr: optimized geometry, PBE.

abc: 4.893 4.893 4.893
angles: 60.00 60.00 60.00
Fractional positions:
1 Sr 0.000 0.000 0.000
2 Cu 0.250 0.250 0.250
3 Te 0.500 0.500 0.500
4 Ir 0.750 0.750 0.750

For the total moment, the calculation gives 0.00 μB per formula unit.

---

## 2
SrCuTeIr: optimized geometry, PBE.

abc: 4.878 4.878 4.878
angles: 60.00 60.00 60.00
Fractional positions:
1 Sr 0.000 0.000 0.000
2 Cu 0.250 0.250 0.250
3 Te 0.750 0.750 0.750
4 Ir 0.500 0.500 0.500

For the total moment, the calculation gives 0.01 μB per formula unit.

---

Of them, 2 has the highest stability.

---

## 1
YTlCuIr: optimized geometry, PBE.

abc: 4.775 4.775 4.775
angles: 60.00 60.00 60.00
Fractional positions:
1 Y 0.000 0.000 0.000
2 Tl 0.500 0.500 0.500
3 Cu 0.750 0.750 0.750
4 Ir 0.250 0.250 0.250

For the total moment, the calculation gives 0.00 μB per formula unit.

---

## 2
YTlCuIr: optimized geometry, PBE.

abc: 4.798 4.798 4.798
angles: 60.00 60.00 60.00
Fractional positions:
1 Y 0.000 0.000 0.000
2 Tl 0.250 0.250 0.250
3 Cu 0.500 0.500 0.500
4 Ir 0.750 0.750 0.750

For the total moment, the calculation gives 0.00 μB per formula unit.

---

Of them, 1 has the highest stability.

---

## 1
UCuIr: optimized geometry, PBE.

abc: 4.487 4.487 4.487
angles: 60.00 60.00 60.00
Fractional positions:
1 U 0.000 0.000 0.000
2 Cu 0.750 0.750 0.750
3 Ir 0.250 0.250 0.250

For the total moment, the calculation gives 1.97 μB per formula unit.

---

## 2
UCuIr: optimized geometry, PBE.

abc: 4.310 4.310 4.310
angles: 60.00 60.00 60.00
Fractional positions:
1 U 0.000 0.000 0.000
2 Cu 0.750 0.750 0.750
3 Ir 0.500 0.500 0.500

For the total moment, the calculation gives 2.14 μB per formula unit.

---

Of them, 2 has the highest stability.

---

## 1
YZnCuIr: optimized geometry, PBE.

abc: 4.618 4.618 4.618
angles: 60.00 60.00 60.00
Fractional positions:
1 Y 0.000 0.000 0.000
2 Zn 0.250 0.250 0.250
3 Cu 0.500 0.500 0.500
4 Ir 0.750 0.750 0.750

For the total moment, the calculation gives 0.00 μB per formula unit.

---

## 2
YZnCuIr: optimized geometry, PBE.

abc: 4.604 4.604 4.604
angles: 60.00 60.00 60.00
Fractional positions:
1 Y 0.000 0.000 0.000
2 Zn 0.500 0.500 0.500
3 Cu 0.750 0.750 0.750
4 Ir 0.250 0.250 0.250

For the total moment, the calculation gives 0.00 μB per formula unit.

---

Of them, 2 has the highest stability.

---

## 1
KCuNiMo: optimized geometry, PBE.

abc: 4.477 4.477 4.477
angles: 60.00 60.00 60.00
Fractional positions:
1 K 0.000 0.000 0.000
2 Cu 0.250 0.250 0.250
3 Ni 0.500 0.500 0.500
4 Mo 0.750 0.750 0.750

For the total moment, the calculation gives 0.00 μB per formula unit.

---

## 2
KCuNiMo: optimized geometry, PBE.

abc: 4.561 4.561 4.561
angles: 60.00 60.00 60.00
Fractional positions:
1 K 0.000 0.000 0.000
2 Cu 0.500 0.500 0.500
3 Ni 0.750 0.750 0.750
4 Mo 0.250 0.250 0.250

For the total moment, the calculation gives 2.84 μB per formula unit.

---

## 3
KCuNiMo: optimized geometry, PBE.

abc: 4.627 4.627 4.627
angles: 60.00 60.00 60.00
Fractional positions:
1 K 0.000 0.000 0.000
2 Cu 0.750 0.750 0.750
3 Ni 0.250 0.250 0.250
4 Mo 0.500 0.500 0.500

For the total moment, the calculation gives 2.65 μB per formula unit.

---

Of them, 3 has the highest stability.

---

## 1
KNaCuP: optimized geometry, PBE.

abc: 5.534 5.886 5.886
angles: 75.36 90.00 90.00
Fractional positions:
1 K 0.250 0.144 0.856
2 K 0.750 0.856 0.144
3 Na 0.250 0.486 0.198
4 Na 0.750 0.198 0.486
5 Cu 0.000 0.675 0.675
6 Cu 0.500 0.675 0.675
7 P 0.250 0.909 0.420
8 P 0.750 0.420 0.909

---

## 2
KNaCuP: optimized geometry, PBE.

abc: 5.821 5.379 6.083
angles: 90.00 104.11 90.00
Fractional positions:
1 K 0.044 0.250 0.190
2 K 0.956 0.750 0.810
3 Na 0.333 0.750 0.501
4 Na 0.667 0.250 0.499
5 Cu 0.500 0.000 0.000
6 Cu 0.500 0.500 0.000
7 P 0.280 0.250 0.733
8 P 0.720 0.750 0.267

---

Of them, 2 has the highest stability.

---

## 1
KCuNiTe: optimized geometry, PBE.

abc: 4.898 4.898 4.898
angles: 60.00 60.00 60.00
Fractional positions:
1 K 0.000 0.000 0.000
2 Cu 0.250 0.250 0.250
3 Ni 0.500 0.500 0.500
4 Te 0.750 0.750 0.750

For the total moment, the calculation gives 0.00 μB per formula unit.

---

## 2
KCuNiTe: optimized geometry, PBE.

abc: 4.793 4.793 4.793
angles: 60.00 60.00 60.00
Fractional positions:
1 K 0.000 0.000 0.000
2 Cu 0.750 0.750 0.750
3 Ni 0.250 0.250 0.250
4 Te 0.500 0.500 0.500

For the total moment, the calculation gives 0.00 μB per formula unit.

---

## 3
KCuNiTe: optimized geometry, PBE.

abc: 4.920 4.920 4.920
angles: 60.00 60.00 60.00
Fractional positions:
1 K 0.000 0.000 0.000
2 Cu 0.500 0.500 0.500
3 Ni 0.750 0.750 0.750
4 Te 0.250 0.250 0.250

For the total moment, the calculation gives 0.38 μB per formula unit.

---

Of them, 2 has the highest stability.

---

## 1
KCuPd: optimized geometry, PBE.

abc: 4.800 4.800 4.800
angles: 60.00 60.00 60.00
Fractional positions:
1 K 0.000 0.000 0.000
2 Cu 0.750 0.750 0.750
3 Pd 0.250 0.250 0.250

---

## 2
KCuPd: optimized geometry, PBE.

abc: 4.645 4.645 4.645
angles: 60.00 60.00 60.00
Fractional positions:
1 K 0.000 0.000 0.000
2 Cu 0.250 0.250 0.250
3 Pd 0.500 0.500 0.500

---

Of them, 2 has the highest stability.

---

## 1
KCuTePt: optimized geometry, PBE.

abc: 4.893 4.893 4.893
angles: 60.00 60.00 60.00
Fractional positions:
1 K 0.000 0.000 0.000
2 Cu 0.250 0.250 0.250
3 Te 0.750 0.750 0.750
4 Pt 0.500 0.500 0.500

For the total moment, the calculation gives 0.00 μB per formula unit.

---

## 2
KCuTePt: optimized geometry, PBE.

abc: 4.913 4.913 4.913
angles: 60.00 60.00 60.00
Fractional positions:
1 K 0.000 0.000 0.000
2 Cu 0.750 0.750 0.750
3 Te 0.500 0.500 0.500
4 Pt 0.250 0.250 0.250

For the total moment, the calculation gives 0.00 μB per formula unit.

---

## 3
KCuTePt: optimized geometry, PBE.

abc: 4.955 4.955 4.955
angles: 60.00 60.00 60.00
Fractional positions:
1 K 0.000 0.000 0.000
2 Cu 0.500 0.500 0.500
3 Te 0.250 0.250 0.250
4 Pt 0.750 0.750 0.750

For the total moment, the calculation gives 0.00 μB per formula unit.

---

Of them, 1 has the highest stability.